An optimized crystal structure of BaNaYWO6. Source: Alexandria via LeMat-Bulk, functional PBE+U. Values from VASP.

Calculated values
E_tot ... -7.30 eV per atom

```
&SYSTEM
  ibrav = 0, nat = 10, ntyp = 5
/
ATOMIC_SPECIES
O 16.00 O.upf
Ba 137.33 Ba.upf
Y 88.91 Y.upf
W 183.84 W.upf
Na 22.99 Na.upf
ATOMIC_POSITIONS crystal
O 0.233 0.767 0.767
O 0.233 0.767 0.233
O 0.233 0.233 0.767
O 0.767 0.767 0.233
O 0.767 0.233 0.767
O 0.767 0.233 0.233
Ba 0.750 0.750 0.750
Y 0.500 0.500 0.500
W 0.000 0.000 0.000
Na 0.250 0.250 0.250
CELL_PARAMETERS angstrom
-2.764 1.259 5.113
-5.473 -2.095 1.016
-0.845 -4.269 4.054
```